Record 1
! PaGeAuSe (PBE, optimized geometry); values from VASP
! Calculated volume ... 167.02 Å³ per cell
! Electronic total energy ... -47.23 eV for the cell shown
! ΔE_f (raw) ... -0.6848 eV per atom
&SYSTEM
  ibrav = 0, nat = 8, ntyp = 4
/
ATOMIC_SPECIES
Pa 231.04 Pa.upf
Ge 72.64 Ge.upf
Au 196.97 Au.upf
Se 78.96 Se.upf
ATOMIC_POSITIONS crystal
Pa 0.250 0.250 0.221
Pa 0.750 0.750 0.779
Ge 0.250 0.250 0.691
Ge 0.750 0.750 0.309
Au 0.250 0.750 0.500
Au 0.750 0.250 0.500
Se 0.250 0.750 0.000
Se 0.750 0.250 0.000
CELL_PARAMETERS angstrom
4.351 0.000 0.000
0.000 4.351 0.000
0.000 0.000 8.822



Record 2
! Pa2Ge2AuSe2 (PBE, optimized geometry); values from VASP
! Calculated volume ... 208.27 Å³ per cell
! Electronic total energy ... -40.58 eV for the cell shown
! ΔE_f (raw) ... -0.3005 eV per atom
&SYSTEM
  ibrav = 0, nat = 7, ntyp = 4
/
ATOMIC_SPECIES
Pa 231.04 Pa.upf
Ge 72.64 Ge.upf
Au 196.97 Au.upf
Se 78.96 Se.upf
ATOMIC_POSITIONS crystal
Pa 0.333 0.667 0.180
Pa 0.667 0.333 0.820
Ge 0.000 0.000 0.288
Ge 0.000 0.000 0.712
Au 0.000 0.000 0.500
Se 0.333 0.667 0.915
Se 0.667 0.333 0.085
CELL_PARAMETERS angstrom
4.574 0.000 0.000
-2.287 3.962 0.000
0.000 0.000 11.493



Record 3
! SmPaGeAu (PBE, optimized geometry); values from VASP
! Calculated volume ... 96.41 Å³ per cell
! Calculated formation energy ... -37.2 kJ/mol of atoms
! Electronic total energy ... -23.65 eV for the cell shown
&SYSTEM
  ibrav = 0, nat = 4, ntyp = 4
/
ATOMIC_SPECIES
Sm 150.36 Sm.upf
Pa 231.04 Pa.upf
Ge 72.64 Ge.upf
Au 196.97 Au.upf
ATOMIC_POSITIONS crystal
Sm 0.000 0.000 0.000
Pa 0.500 0.500 0.500
Ge 0.750 0.750 0.750
Au 0.250 0.250 0.250
CELL_PARAMETERS angstrom
0.000 3.639 3.639
3.639 0.000 3.639
3.639 3.639 0.000



Record 4
! PaSnGeAu (PBE, optimized geometry); values from VASP
! Calculated volume ... 177.49 Å³ per cell
! Calculated formation energy ... -29.7 kJ/mol of atoms
! Electronic total energy ... -45.25 eV for the cell shown
! E above lowest polymorph ... 0.0000 eV/atom
&SYSTEM
  ibrav = 0, nat = 8, ntyp = 4
/
ATOMIC_SPECIES
Pa 231.04 Pa.upf
Sn 118.71 Sn.upf
Ge 72.64 Ge.upf
Au 196.97 Au.upf
ATOMIC_POSITIONS crystal
Pa 0.250 0.250 0.233
Pa 0.750 0.750 0.767
Sn 0.250 0.250 0.711
Sn 0.750 0.750 0.289
Ge 0.250 0.750 0.000
Ge 0.750 0.250 0.000
Au 0.250 0.750 0.500
Au 0.750 0.250 0.500
CELL_PARAMETERS angstrom
4.396 0.000 0.000
0.000 4.396 0.000
0.000 0.000 9.183



Record 5
! PaSnGeAu (PBE, optimized geometry); values from VASP
! Calculated volume ... 89.32 Å³ per cell
! Calculated formation energy ... -19.0 kJ/mol of atoms
! Electronic total energy ... -22.18 eV for the cell shown
! E above lowest polymorph ... 0.1114 eV/atom
&SYSTEM
  ibrav = 0, nat = 4, ntyp = 4
/
ATOMIC_SPECIES
Pa 231.04 Pa.upf
Sn 118.71 Sn.upf
Ge 72.64 Ge.upf
Au 196.97 Au.upf
ATOMIC_POSITIONS crystal
Pa 0.000 0.000 0.000
Sn 0.500 0.500 0.500
Ge 0.750 0.750 0.750
Au 0.250 0.250 0.250
CELL_PARAMETERS angstrom
0.000 3.548 3.548
3.548 0.000 3.548
3.548 3.548 0.000



Record 6
! ThPaGeAu (PBE, optimized geometry); values from VASP
! Calculated volume ... 97.54 Å³ per cell
! Calculated formation energy ... -30.7 kJ/mol of atoms
! Electronic total energy ... -26.08 eV for the cell shown
&SYSTEM
  ibrav = 0, nat = 4, ntyp = 4
/
ATOMIC_SPECIES
Th 232.04 Th.upf
Pa 231.04 Pa.upf
Ge 72.64 Ge.upf
Au 196.97 Au.upf
ATOMIC_POSITIONS crystal
Th 0.000 0.000 0.000
Pa 0.500 0.500 0.500
Ge 0.750 0.750 0.750
Au 0.250 0.250 0.250
CELL_PARAMETERS angstrom
0.000 3.654 3.654
3.654 0.000 3.654
3.654 3.654 0.000



Record 7
! Ge2Pb5Au5 (PBE, optimized geometry); values from VASP
! Calculated volume ... 307.62 Å³ per cell
! Calculated formation energy ... -3.1 kJ/mol of atoms
! Electronic total energy ... -44.55 eV for the cell shown
&SYSTEM
  ibrav = 0, nat = 12, ntyp = 3
/
ATOMIC_SPECIES
Ge 72.64 Ge.upf
Pb 207.20 Pb.upf
Au 196.97 Au.upf
ATOMIC_POSITIONS crystal
Ge 0.042 0.042 0.299
Ge 0.958 0.958 0.701
Pb 0.237 0.237 0.133
Pb 0.330 0.330 0.443
Pb 0.500 0.500 0.000
Pb 0.670 0.670 0.557
Pb 0.763 0.763 0.867
Au 0.000 0.000 0.500
Au 0.107 0.107 0.885
Au 0.343 0.343 0.716
Au 0.657 0.657 0.284
Au 0.893 0.893 0.115
CELL_PARAMETERS angstrom
7.221 -1.923 0.000
7.221 1.923 0.000
-3.475 0.000 11.075



Record 8
! Ge2Pb2Au (PBE, optimized geometry); values from VASP
! Calculated volume ... 124.32 Å³ per cell
! Calculated formation energy ... 11.7 kJ/mol of atoms
! Electronic total energy ... -19.32 eV for the cell shown
! E above lowest polymorph ... 0.0539 eV/atom
&SYSTEM
  ibrav = 0, nat = 5, ntyp = 3
/
ATOMIC_SPECIES
Ge 72.64 Ge.upf
Pb 207.20 Pb.upf
Au 196.97 Au.upf
ATOMIC_POSITIONS crystal
Ge 0.250 0.750 0.500
Ge 0.750 0.250 0.500
Pb 0.099 0.099 0.000
Pb 0.901 0.901 0.000
Au 0.500 0.500 0.000
CELL_PARAMETERS angstrom
-1.864 1.864 8.941
1.864 -1.864 8.941
1.864 1.864 -8.941



Record 9
! Ge3PbAu3 (PBE, optimized geometry); values from VASP
! Calculated volume ... 369.00 Å³ per cell
! Calculated formation energy ... 19.9 kJ/mol of atoms
! Electronic total energy ... -51.90 eV for the cell shown
&SYSTEM
  ibrav = 0, nat = 14, ntyp = 3
/
ATOMIC_SPECIES
Ge 72.64 Ge.upf
Pb 207.20 Pb.upf
Au 196.97 Au.upf
ATOMIC_POSITIONS crystal
Ge 0.000 0.250 0.500
Ge 0.000 0.750 0.500
Ge 0.250 0.500 0.000
Ge 0.500 0.000 0.250
Ge 0.500 0.000 0.750
Ge 0.750 0.500 0.000
Pb 0.000 0.000 0.000
Pb 0.500 0.500 0.500
Au 0.000 0.500 0.250
Au 0.000 0.500 0.750
Au 0.250 0.000 0.500
Au 0.500 0.250 0.000
Au 0.500 0.750 0.000
Au 0.750 0.000 0.500
CELL_PARAMETERS angstrom
7.173 0.000 0.000
0.000 7.173 0.000
0.000 0.000 7.173



Record 10
! Ge3Pb3Au8 (PBE, optimized geometry); values from VASP
! Calculated volume ... 309.33 Å³ per cell
! Calculated formation energy ... -3.0 kJ/mol of atoms
! Electronic total energy ... -51.64 eV for the cell shown
&SYSTEM
  ibrav = 0, nat = 14, ntyp = 3
/
ATOMIC_SPECIES
Ge 72.64 Ge.upf
Pb 207.20 Pb.upf
Au 196.97 Au.upf
ATOMIC_POSITIONS crystal
Ge 0.000 0.000 0.000
Ge 0.323 0.323 0.502
Ge 0.677 0.677 0.498
Pb 0.000 0.000 0.500
Pb 0.295 0.295 0.866
Pb 0.705 0.705 0.134
Au 0.120 0.120 0.894
Au 0.137 0.137 0.335
Au 0.373 0.373 0.286
Au 0.485 0.485 0.816
Au 0.515 0.515 0.184
Au 0.627 0.627 0.714
Au 0.863 0.863 0.665
Au 0.880 0.880 0.106
CELL_PARAMETERS angstrom
8.306 -2.254 0.000
8.306 2.254 0.000
-4.705 0.000 8.260



Record 11
! GePb2Au7 (PBE, optimized geometry); values from VASP
! Calculated volume ... 218.57 Å³ per cell
! Calculated formation energy ... 0.4 kJ/mol of atoms
! Electronic total energy ... -34.93 eV for the cell shown
&SYSTEM
  ibrav = 0, nat = 10, ntyp = 3
/
ATOMIC_SPECIES
Ge 72.64 Ge.upf
Pb 207.20 Pb.upf
Au 196.97 Au.upf
ATOMIC_POSITIONS crystal
Ge 0.000 0.000 0.000
Pb 0.000 0.500 0.750
Pb 0.500 0.000 0.250
Au 0.000 0.000 0.500
Au 0.000 0.500 0.147
Au 0.000 0.500 0.349
Au 0.500 0.000 0.651
Au 0.500 0.000 0.853
Au 0.500 0.500 0.000
Au 0.500 0.500 0.500
CELL_PARAMETERS angstrom
3.979 0.000 0.000
0.000 3.979 0.000
0.000 0.000 13.807



Record 12
! GePbAu2 (PBE, optimized geometry); values from VASP
! Calculated volume ... 201.21 Å³ per cell
! Calculated formation energy ... 4.6 kJ/mol of atoms
! Electronic total energy ... -29.38 eV for the cell shown
! E above lowest polymorph ... 0.0860 eV/atom
&SYSTEM
  ibrav = 0, nat = 8, ntyp = 3
/
ATOMIC_SPECIES
Ge 72.64 Ge.upf
Pb 207.20 Pb.upf
Au 196.97 Au.upf
ATOMIC_POSITIONS crystal
Ge 0.000 0.000 0.000
Ge 0.750 0.250 0.500
Pb 0.250 0.750 0.500
Pb 0.500 0.500 0.000
Au 0.041 0.625 0.916
Au 0.375 0.291 0.416
Au 0.709 0.125 0.084
Au 0.875 0.959 0.584
CELL_PARAMETERS angstrom
-2.461 2.461 8.307
2.461 -2.461 8.307
2.461 2.461 -8.307



Record 13
! GePbAu2 (PBE, optimized geometry); values from VASP
! Calculated volume ... 186.15 Å³ per cell
! Calculated formation energy ... -3.0 kJ/mol of atoms
! Electronic total energy ... -30.01 eV for the cell shown
! E above lowest polymorph ... 0.0067 eV/atom
&SYSTEM
  ibrav = 0, nat = 8, ntyp = 3
/
ATOMIC_SPECIES
Ge 72.64 Ge.upf
Pb 207.20 Pb.upf
Au 196.97 Au.upf
ATOMIC_POSITIONS crystal
Ge 0.250 0.250 0.095
Ge 0.750 0.750 0.905
Pb 0.250 0.750 0.423
Pb 0.750 0.250 0.577
Au 0.250 0.000 0.790
Au 0.250 0.500 0.790
Au 0.750 0.000 0.210
Au 0.750 0.500 0.210
CELL_PARAMETERS angstrom
4.343 0.000 0.000
0.000 5.716 0.000
0.000 0.000 7.499



Record 14
! Ge2PbAu6 (PBE, optimized geometry); values from VASP
! Calculated volume ... 190.03 Å³ per cell
! Calculated formation energy ... 2.0 kJ/mol of atoms
! Electronic total energy ... -32.42 eV for the cell shown
&SYSTEM
  ibrav = 0, nat = 9, ntyp = 3
/
ATOMIC_SPECIES
Ge 72.64 Ge.upf
Pb 207.20 Pb.upf
Au 196.97 Au.upf
ATOMIC_POSITIONS crystal
Ge 0.131 0.131 0.372
Ge 0.869 0.869 0.628
Pb 0.500 0.500 0.000
Au 0.211 0.211 0.673
Au 0.222 0.222 0.098
Au 0.473 0.473 0.332
Au 0.527 0.527 0.668
Au 0.778 0.778 0.902
Au 0.789 0.789 0.327
CELL_PARAMETERS angstrom
5.300 -2.054 0.000
5.300 2.054 0.000
-1.907 0.000 8.729



Record 15
! Ge2Pb3Au4 (PBE, optimized geometry); values from VASP
! Calculated volume ... 213.29 Å³ per cell
! Calculated formation energy ... -4.0 kJ/mol of atoms
! Electronic total energy ... -33.84 eV for the cell shown
&SYSTEM
  ibrav = 0, nat = 9, ntyp = 3
/
ATOMIC_SPECIES
Ge 72.64 Ge.upf
Pb 207.20 Pb.upf
Au 196.97 Au.upf
ATOMIC_POSITIONS crystal
Ge 0.182 0.182 0.345
Ge 0.818 0.818 0.655
Pb 0.106 0.106 0.705
Pb 0.500 0.500 0.000
Pb 0.894 0.894 0.295
Au 0.197 0.197 0.065
Au 0.408 0.408 0.574
Au 0.592 0.592 0.426
Au 0.803 0.803 0.935
CELL_PARAMETERS angstrom
6.110 -2.124 0.000
6.110 2.124 0.000
-3.460 0.000 8.218



Record 16
! Ge2Pb3Au5 (PBE, optimized geometry); values from VASP
! Calculated volume ... 474.04 Å³ per cell
! Calculated formation energy ... 3.9 kJ/mol of atoms
! Electronic total energy ... -72.69 eV for the cell shown
&SYSTEM
  ibrav = 0, nat = 20, ntyp = 3
/
ATOMIC_SPECIES
Ge 72.64 Ge.upf
Pb 207.20 Pb.upf
Au 196.97 Au.upf
ATOMIC_POSITIONS crystal
Ge 0.174 0.054 0.228
Ge 0.326 0.554 0.880
Ge 0.674 0.446 0.120
Ge 0.826 0.946 0.772
Pb 0.110 0.723 0.833
Pb 0.250 0.250 0.000
Pb 0.390 0.223 0.613
Pb 0.610 0.777 0.387
Pb 0.750 0.750 0.000
Pb 0.890 0.277 0.167
Au 0.049 0.750 0.299
Au 0.096 0.298 0.394
Au 0.250 0.750 0.500
Au 0.404 0.798 0.202
Au 0.451 0.750 0.701
Au 0.549 0.250 0.299
Au 0.596 0.202 0.798
Au 0.750 0.250 0.500
Au 0.904 0.702 0.606
Au 0.951 0.250 0.701
CELL_PARAMETERS angstrom
-4.641 7.516 3.398
4.641 -7.516 3.398
4.641 7.516 -3.398



Record 17
! Ge3Pb2Au17 (PBE, optimized geometry); values from VASP
! Calculated volume ... 465.97 Å³ per cell
! Calculated formation energy ... 12.1 kJ/mol of atoms
! Electronic total energy ... -74.22 eV for the cell shown
&SYSTEM
  ibrav = 0, nat = 22, ntyp = 3
/
ATOMIC_SPECIES
Ge 72.64 Ge.upf
Pb 207.20 Pb.upf
Au 196.97 Au.upf
ATOMIC_POSITIONS crystal
Ge 0.000 0.500 0.500
Ge 0.500 0.000 0.500
Ge 0.500 0.500 0.000
Pb 0.300 0.300 0.300
Pb 0.700 0.700 0.700
Au 0.000 0.000 0.500
Au 0.000 0.263 0.737
Au 0.000 0.500 0.000
Au 0.000 0.737 0.263
Au 0.101 0.101 0.101
Au 0.178 0.668 0.668
Au 0.263 0.000 0.737
Au 0.263 0.737 0.000
Au 0.332 0.332 0.822
Au 0.332 0.822 0.332
Au 0.500 0.000 0.000
Au 0.668 0.178 0.668
Au 0.668 0.668 0.178
Au 0.737 0.000 0.263
Au 0.737 0.263 0.000
Au 0.822 0.332 0.332
Au 0.899 0.899 0.899
CELL_PARAMETERS angstrom
5.206 3.006 4.963
-5.206 3.006 4.963
0.000 -6.012 4.963



Record 18
! Ge2Pb3Au9 (PBE, optimized geometry); values from VASP
! Calculated volume ... 300.56 Å³ per cell
! Calculated formation energy ... -0.3 kJ/mol of atoms
! Electronic total energy ... -49.90 eV for the cell shown
&SYSTEM
  ibrav = 0, nat = 14, ntyp = 3
/
ATOMIC_SPECIES
Ge 72.64 Ge.upf
Pb 207.20 Pb.upf
Au 196.97 Au.upf
ATOMIC_POSITIONS crystal
Ge 0.177 0.000 0.177
Ge 0.823 0.000 0.823
Pb 0.219 0.219 0.000
Pb 0.500 0.500 0.000
Pb 0.781 0.781 0.000
Au 0.000 0.500 0.500
Au 0.053 0.352 0.701
Au 0.238 0.867 0.371
Au 0.349 0.648 0.701
Au 0.496 0.867 0.629
Au 0.504 0.133 0.371
Au 0.651 0.352 0.299
Au 0.762 0.133 0.629
Au 0.947 0.648 0.299
CELL_PARAMETERS angstrom
-2.114 5.565 6.388
2.114 -5.565 6.388
2.114 5.565 -6.388



Record 19
! Ge3PbAu6 (PBE, optimized geometry); values from VASP
! Calculated volume ... 417.17 Å³ per cell
! Calculated formation energy ... 1.9 kJ/mol of atoms
! Electronic total energy ... -74.05 eV for the cell shown
&SYSTEM
  ibrav = 0, nat = 20, ntyp = 3
/
ATOMIC_SPECIES
Ge 72.64 Ge.upf
Pb 207.20 Pb.upf
Au 196.97 Au.upf
ATOMIC_POSITIONS crystal
Ge 0.071 0.929 0.500
Ge 0.221 0.401 0.456
Ge 0.401 0.221 0.956
Ge 0.599 0.779 0.456
Ge 0.779 0.599 0.956
Ge 0.929 0.071 0.000
Pb 0.307 0.693 0.817
Pb 0.693 0.307 0.317
Au 0.035 0.463 0.090
Au 0.153 0.203 0.736
Au 0.203 0.153 0.236
Au 0.250 0.750 0.311
Au 0.460 0.540 0.123
Au 0.463 0.035 0.590
Au 0.537 0.965 0.090
Au 0.540 0.460 0.623
Au 0.750 0.250 0.811
Au 0.797 0.847 0.736
Au 0.847 0.797 0.236
Au 0.965 0.537 0.590
CELL_PARAMETERS angstrom
4.115 -5.638 0.000
4.115 5.638 0.000
0.000 0.000 8.990



Record 20
! Ge2Pb2Au (PBE, optimized geometry); values from VASP
! Calculated volume ... 131.67 Å³ per cell
! Calculated formation energy ... 24.1 kJ/mol of atoms
! Electronic total energy ... -18.68 eV for the cell shown
! E above lowest polymorph ... 0.1828 eV/atom
&SYSTEM
  ibrav = 0, nat = 5, ntyp = 3
/
ATOMIC_SPECIES
Ge 72.64 Ge.upf
Pb 207.20 Pb.upf
Au 196.97 Au.upf
ATOMIC_POSITIONS crystal
Ge 0.163 0.163 0.000
Ge 0.837 0.837 0.000
Pb 0.250 0.750 0.500
Pb 0.750 0.250 0.500
Au 0.500 0.500 0.000
CELL_PARAMETERS angstrom
-2.935 2.935 3.821
2.935 -2.935 3.821
2.935 2.935 -3.821